# 1
## Sr2ReOs (PBE)

Data for crystalline Sr2ReOs at its relaxed geometry.

Cell: 18.3758 3.5161 3.7349 Å, 90.00 101.59 90.00°
Space group C2/m (No. 12)
Symmetry-distinct sites (fractional):
Sr: 0.1469 0.0000 0.1449 [4 per cell]
Re: 0.0000 0.0000 0.5000 [2 per cell]
Os: 0.0000 0.5000 0.0000 [2 per cell]

Results
- crystal system = monoclinic


# 2
## SrRe2Os2 (PBE)

Data for crystalline SrRe2Os2 at its relaxed geometry.

Cell: 7.9798 7.9798 2.7596 Å, 90.00 90.00 90.00°
Space group P4/mbm (No. 127)
Symmetry-distinct sites (fractional):
Sr: 0.0000 0.0000 0.0000 [2 per cell]
Re: 0.1166 0.3834 0.0000 [4 per cell]
Os: 0.1674 0.6674 0.5000 [4 per cell]

Results
- crystal system = tetragonal


# 3
## SrReOs2 (PBE)

Data for crystalline SrReOs2 at its relaxed geometry.

Cell: 4.8382 4.8382 2.9824 Å, 90.00 90.00 90.00°
Space group P4/mmm (No. 123)
Symmetry-distinct sites (fractional):
Sr: 0.0000 0.0000 0.0000 [1 per cell]
Re: 0.5000 0.5000 0.0000 [1 per cell]
Os: 0.0000 0.5000 0.5000 [2 per cell]

Results
- crystal system = tetragonal


# 4
## SrRe2Os (PBE)

Data for crystalline SrRe2Os at its relaxed geometry.

Cell: 2.8120 3.7491 7.4260 Å, 90.00 90.00 90.00°
Space group Pmm2 (No. 25)
Symmetry-distinct sites (fractional):
Sr: 0.0000 0.0000 0.0000 [1 per cell]
Re: 0.0000 0.0000 0.4912 [1 per cell]
Re: 0.5000 0.5000 0.6699 [1 per cell]
Os: 0.5000 0.5000 0.3187 [1 per cell]

Results
- crystal system = orthorhombic


# 5
## Sr2ReOs (PBE)

Data for crystalline Sr2ReOs at its relaxed geometry.

Cell: 11.3294 11.3294 4.7388 Å, 90.00 90.00 90.00°
Space group I-42d (No. 122)
Symmetry-distinct sites (fractional):
Sr: 0.0764 0.2500 0.1250 [8 per cell]
Re: 0.0000 0.0000 0.5000 [4 per cell]
Os: 0.0000 0.0000 0.0000 [4 per cell]

Results
- crystal system = tetragonal


# 6
## Sr2ReOs (PBE)

Data for crystalline Sr2ReOs at its relaxed geometry.

Cell: 3.1718 4.9836 5.4941 Å, 90.00 92.75 90.00°
Space group P2/m (No. 10)
Symmetry-distinct sites (fractional):
Sr: 0.0342 0.0000 0.2523 [2 per cell]
Re: 0.5000 0.5000 0.0000 [1 per cell]
Os: 0.5000 0.5000 0.5000 [1 per cell]

Results
- crystal system = monoclinic


# 7
## SrRe2Os2 (PBE)

Data for crystalline SrRe2Os2 at its relaxed geometry.

Cell: 4.3762 4.3762 10.3313 Å, 90.00 90.00 90.00°
Space group I4/mmm (No. 139)
Symmetry-distinct sites (fractional):
Sr: 0.0000 0.0000 0.0000 [2 per cell]
Re: 0.0000 0.0000 0.3759 [4 per cell]
Os: 0.0000 0.5000 0.2500 [4 per cell]

Results
- crystal system = tetragonal


# 8
## Sr2ReOs (PBE)

Data for crystalline Sr2ReOs at its relaxed geometry.

Cell: 7.2652 4.1989 9.0180 Å, 90.00 105.65 90.00°
Space group Cm (No. 8)
Symmetry-distinct sites (fractional):
Sr: 0.0000 0.0000 0.0000 [2 per cell]
Sr: 0.1776 0.0000 0.5295 [2 per cell]
Re: 0.4283 0.0000 0.2833 [2 per cell]
Os: 0.2482 0.5000 0.2429 [2 per cell]

Results
- crystal system = monoclinic


| no. | N(E_F) (states/eV per atom) | offset from the most stable computed form (kcal/mol of atoms) |
| --- | --- | --- |
| 1 | 0.79 | 7.88 |
| 2 | 1.19 | 0.00 |
| 3 | 1.19 | 12.38 |
| 4 | 1.12 | 0.37 |
| 5 | 1.00 | 18.97 |
| 6 | 0.92 | 23.56 |
| 7 | 0.90 | 0.31 |
| 8 | 1.07 | 0.00 |